Entry 1:
NiSb2SeI (PBE, optimized geometry); formation energy without anion corrections = 0.3712 eV per atom; E_tot = -3.441 eV per atom; total magnetic moment = 0.000 μB per atom; polymorph energy (0 for the lowest one) = 0 meV/atom
1.0
5.0879 0.0000 0.0000
0.0000 5.0879 0.0000
0.0000 0.0000 5.0203
I Sb Se Ni
1 2 1 1
Direct
0.0000 0.0000 0.5000 I
0.0000 0.5000 0.0000 Sb
0.5000 0.0000 0.0000 Sb
0.5000 0.5000 0.5000 Se
0.0000 0.0000 0.0000 Ni



Entry 2:
NaLi2Si (PBE, optimized geometry); formation energy without anion corrections = 0.0273 eV per atom; E_tot = -2.615 eV per atom; total magnetic moment = 0.130 μB per atom
1.0
-0.6871 -3.4657 2.7268
3.4275 -1.8171 2.2065
0.1207 1.4377 5.5101
Na Li Si
1 2 1
Direct
0.4896 0.4896 0.5311 Na
0.0221 0.0221 0.9336 Li
0.2978 0.2978 0.1065 Li
0.6904 0.6904 0.9288 Si